! CuBiWO5 (PBE with a Hubbard U, relaxed); values from VASP
! energy: -6.387 eV/atom
! space group: C2/c (15)
&SYSTEM
  ibrav = 0, nat = 16, ntyp = 4
/
ATOMIC_SPECIES
W 183.84 W.upf
O 16.00 O.upf
Bi 208.98 Bi.upf
Cu 63.55 Cu.upf
ATOMIC_POSITIONS angstrom
W 1.573 -0.301 3.513
O -1.147 -1.688 6.969
O -2.809 -1.286 4.026
O -1.554 0.897 0.782
O -0.078 0.372 4.319
O -0.581 3.523 2.919
O -3.312 1.865 2.626
Bi -3.121 -0.199 1.877
Cu -1.792 2.853 1.543
O -4.193 -2.658 2.146
O -1.836 1.340 6.163
O 0.803 4.895 4.799
Bi -0.268 2.436 5.068
O -2.243 3.925 -0.023
W 0.000 0.000 0.000
Cu -1.598 -0.615 5.402
CELL_PARAMETERS angstrom
-1.429 5.642 -0.502
-5.108 -2.802 0.422
3.147 -0.602 7.025